1.
CdInOs: optimized geometry, GGA-PBE.

Energy relative to the lowest polymorph listed for this composition, eV/f.u.: 0.00
Crystal system: orthorhombic
Energy relative to the elements, eV per atom: 0.578
Calculated total energy, eV for the cell shown: -13.151

Cell and atoms, written as POSCAR:
```
CdInOs
1.0
5.235 -0.012 0.007
2.748 4.455 -0.007
-3.541 -3.031 2.383
In Cd Os
1 1 1
Cartesian
2.574 1.433 0.000
0.051 0.029 0.000
5.357 2.981 0.000
```

---

2.
CdIn2Os: optimized geometry, GGA-PBE.

Crystal system: tetragonal
Energy relative to the elements, eV per atom: 0.408
Calculated total energy, eV for the cell shown: -15.988

Cell and atoms, written as POSCAR:
```
CdIn2Os
1.0
5.174 0.002 -0.006
1.635 4.909 0.006
-3.399 -2.463 3.025
In Cd Os
2 1 1
Cartesian
3.405 2.455 0.000
6.809 4.910 0.000
0.821 2.450 1.515
2.590 -0.003 1.509
```

---

3.
Cd2InOs: optimized geometry, GGA-PBE.

Crystal system: cubic
Energy relative to the elements, eV per atom: 0.505
Calculated total energy, eV for the cell shown: -13.777

Cell and atoms, written as POSCAR:
```
Cd2InOs
1.0
-2.359 -3.067 -2.763
-3.315 -2.837 1.889
-4.595 0.732 -0.980
Cd In Os
2 1 1
Cartesian
0.000 0.000 0.000
-7.702 -3.879 -1.391
-5.135 -2.586 -0.927
-2.567 -1.293 -0.464
```